[1]
DFT (SCAN) results for a crystal of MgCdOs2 relaxed with PBEsol.

a = 2.9409 Å, b = 4.5789 Å, c = 4.6403 Å
α = 90.00°, β = 90.00°, γ = 90.00°
Sites, in units of the cell vectors:
Mg: 0.0000 0.0000 0.0000
Cd: 0.5000 0.5000 0.0000
Os: 0.0000 0.5000 0.5000
Os: 0.5000 0.0000 0.5000

- Energy above the most stable polymorph in this dataset: 358.8 meV/atom
- Total DFT energy (no corrections): -44.3396 eV per atom
- Formation energy: 1.8 eV per formula unit

=====

[2]
DFT (SCAN) results for a crystal of MgCdOs2 relaxed with PBEsol.

a = 4.5065 Å, b = 4.5065 Å, c = 4.5065 Å
α = 122.47°, β = 122.47°, γ = 85.78°
Sites, in units of the cell vectors:
Mg: 0.0000 0.0000 0.0000
Cd: 0.7500 0.2500 0.5000
Os: 0.2500 0.7500 0.5000
Os: 0.5000 0.5000 0.0000

- Energy above the most stable polymorph in this dataset: 320.6 meV/atom
- Total DFT energy (no corrections): -44.3778 eV per atom
- Formation energy: 1.6 eV per formula unit

=====

[3]
DFT (SCAN) results for a crystal of MgCdOs2 relaxed with PBEsol.

a = 2.8457 Å, b = 2.8457 Å, c = 8.1215 Å
α = 90.00°, β = 90.00°, γ = 90.00°
Sites, in units of the cell vectors:
Mg: 0.0000 0.0000 0.0000
Cd: 0.5000 0.5000 0.7002
Os: 0.0000 0.0000 0.4385
Os: 0.5000 0.5000 0.2413

- Energy above the most stable polymorph in this dataset: 0.0 meV/atom
- Total DFT energy (no corrections): -44.6984 eV per atom
- Formation energy: 0.4 eV per formula unit

=====

[4]
DFT (SCAN) results for a crystal of MgCdOs2 relaxed with PBEsol.

a = 2.8464 Å, b = 3.6511 Å, c = 6.2234 Å
α = 90.00°, β = 90.00°, γ = 90.00°
Sites, in units of the cell vectors:
Mg: 0.0000 0.0000 0.0000
Cd: 0.5000 0.5000 0.7273
Os: 0.0000 0.0000 0.4467
Os: 0.5000 0.5000 0.2574

- Energy above the most stable polymorph in this dataset: 145.2 meV/atom
- Total DFT energy (no corrections): -44.5532 eV per atom
- Formation energy: 0.9 eV per formula unit